[1]
DFT (PBE) results for an optimized crystal structure of DyLuInNi.

Results
ρ ... 9.39 Mg/m³
Energy of formation from the pure elements ... -1.31 eV/f.u.
SG ... No. 216

Cell: 5.0378 5.0378 5.0378 Å, 60.00 60.00 60.00°
Fractional positions:
Ni1 0.2500 0.2500 0.2500
Lu1 0.5000 0.5000 0.5000
In1 0.7500 0.7500 0.7500
Dy1 0.0000 0.0000 0.0000

[2]
DFT (PBE) results for an optimized crystal structure of Cd2PbAu.

Results
ρ ... 11.03 Mg/m³
Energy of formation from the pure elements ... 0.13 eV/f.u.
SG ... No. 216

Cell: 5.1156 5.1156 5.1156 Å, 60.00 60.00 60.00°
Fractional positions:
Pb1 0.7500 0.7500 0.7500
Au1 0.5000 0.5000 0.5000
Cd1 0.0000 0.0000 0.0000
Cd2 0.2500 0.2500 0.2500

[3]
DFT (PBE) results for an optimized crystal structure of K6SBr2Cl2.

Results
ρ ... 1.92 Mg/m³
Uncorrected formation energy ... -154.0 kJ per mole of atoms
SG ... No. 12

Cell: 8.0104 8.0104 8.1588 Å, 100.26 100.26 118.87°
Fractional positions:
K1 0.7747 0.7747 0.7206
K2 0.0498 0.3903 0.7144
K3 0.2253 0.2253 0.2794
K4 0.3903 0.0498 0.7144
K5 0.9502 0.6097 0.2856
K6 0.6097 0.9502 0.2856
S1 0.0000 0.0000 0.5000
Br1 0.8238 0.1762 0.0000
Br2 0.1762 0.8238 0.0000
Cl1 0.3428 0.6572 0.5000
Cl2 0.6572 0.3428 0.5000

[4]
DFT (PBE) results for an optimized crystal structure of Pm6Nd2Sm3In.

Results
ρ ... 7.21 Mg/m³
Energy of formation from the pure elements ... -0.62 eV/f.u.
SG ... No. 12

Cell: 6.2447 6.2447 11.9580 Å, 95.04 95.04 120.11°
Fractional positions:
Pm1 0.9179 0.5928 0.7524
Pm2 0.7577 0.7577 0.2490
Pm3 0.0821 0.4072 0.2476
Pm4 0.5928 0.9179 0.7524
Pm5 0.2423 0.2423 0.7510
Pm6 0.4072 0.0821 0.2476
Nd1 0.3336 0.6664 0.0000
Nd2 0.6664 0.3336 0.0000
Sm1 0.1681 0.8319 0.5000
Sm2 0.8319 0.1681 0.5000
Sm3 0.5000 0.5000 0.5000
In1 0.0000 0.0000 0.0000